The following is a DFT calculation (PBE) of crystalline SmEr4Ga15 at its relaxed geometry.

Calculated values
Raw total energy   -3.95 eV/atom
M_tot   0.0 μB per cell
Theoretical density   7969 kg/m³
DOS(E_F)   8.0 states/eV per cell
E_form   -527 meV per atom

Cell and atoms, written as POSCAR:
```
SmEr4Ga15
1.0
4.2737 0.0000 0.0000
0.0000 4.2737 0.0000
0.0000 0.0000 21.2807
Sm Er Ga
1 4 15
Cartesian
0.0000 0.0000 0.0000
0.0000 0.0000 4.3060
0.0000 0.0000 8.5258
0.0000 0.0000 12.7549
0.0000 0.0000 16.9746
0.0000 2.1369 2.1937
0.0000 2.1369 6.4117
0.0000 2.1369 10.6403
0.0000 2.1369 14.8690
0.0000 2.1369 19.0870
2.1369 0.0000 2.1937
2.1369 0.0000 6.4117
2.1369 0.0000 10.6403
2.1369 0.0000 14.8690
2.1369 0.0000 19.0870
2.1369 2.1369 0.0000
2.1369 2.1369 4.2765
2.1369 2.1369 8.5315
2.1369 2.1369 12.7491
2.1369 2.1369 17.0041
```